Below is an optimized crystal structure of NdSm2Se, with properties calculated at the PBE level.

Values from the calculation:
Polymorph energy (0 for the lowest one) (meV/atom): 0
Formation energy (no corrections) (meV/atom): -812
Uncorrected energy (eV per atom): -5.23
M_tot (μB per cell): 0.53
Crystal system: trigonal

Lattice parameters (Å, degrees): 3.898 3.898 9.916 78.67 78.67 60.00
Each line ends with the local moment (μB).
Atoms (fractional coordinates):
Nd  0.500  0.500  0.501  0.13
Sm  0.065  0.065  0.806  0.05
Sm  0.269  0.269  0.193  0.04
Se  0.667  0.667  0.999  0.00

=====

Below is an optimized crystal structure of Ac2GaBr, with properties calculated at the PBE level.

Values from the calculation:
Polymorph energy (0 for the lowest one) (meV/atom): 97
Formation energy (no corrections) (meV/atom): -818
Uncorrected energy (eV per atom): -4.05
M_tot (μB per cell): 0.00
Crystal system: tetragonal

Lattice parameters (Å, degrees): 3.797 3.797 8.601 90.00 90.00 90.00
Atoms (fractional coordinates):
Ga  0.500  0.500  0.000
Br  0.500  0.500  0.500
Ac  0.000  0.000  0.231
Ac  0.000  0.000  0.769

=====

Below is an optimized crystal structure of TbHo5Cu6, with properties calculated at the PBE level.

Values from the calculation:
Uncorrected energy (eV per atom): -4.61
E_form (eV per atom): -0.26
M_tot (μB per cell): 0.00
Crystal system: orthorhombic

Lattice parameters (Å, degrees): 4.907 6.858 7.761 90.00 71.57 90.00
Atoms (fractional coordinates):
Ho  0.333  0.000  0.334
Ho  0.667  0.000  0.666
Ho  0.666  0.500  0.667
Ho  0.000  0.500  0.000
Ho  0.334  0.500  0.333
Cu  0.168  0.749  0.664
Cu  0.832  0.251  0.336
Cu  0.500  0.747  0.000
Cu  0.832  0.749  0.336
Cu  0.168  0.251  0.664
Cu  0.500  0.253  0.000
Tb  0.000  0.000  0.000

=====

Below is an optimized crystal structure of Zr4OsPt, with properties calculated at the PBE level.

Values from the calculation:
Uncorrected energy (eV per atom): -8.20
E_form (eV per atom): 0.38
M_tot (μB per cell): 0.00
Crystal system: cubic

Lattice parameters (Å, degrees): 5.497 5.497 5.497 60.00 60.00 60.00
Atoms (fractional coordinates):
Zr  0.376  0.873  0.376
Zr  0.873  0.376  0.376
Zr  0.376  0.376  0.873
Zr  0.376  0.376  0.376
Os  0.750  0.750  0.750
Pt  0.000  0.000  0.000

=====

Please write out number 1 again, unchanged.
Below is an optimized crystal structure of NdSm2Se, with properties calculated at the PBE level.

Values from the calculation:
Polymorph energy (0 for the lowest one) (meV/atom): 0
Formation energy (no corrections) (meV/atom): -812
Uncorrected energy (eV per atom): -5.23
M_tot (μB per cell): 0.53
Crystal system: trigonal

Lattice parameters (Å, degrees): 3.898 3.898 9.916 78.67 78.67 60.00
Each line ends with the local moment (μB).
Atoms (fractional coordinates):
Nd  0.500  0.500  0.501  0.13
Sm  0.065  0.065  0.806  0.05
Sm  0.269  0.269  0.193  0.04
Se  0.667  0.667  0.999  0.00

=====

Q: What is the uncorrected energy in the first record?
A: -5.23 eV per atom

=====

Q: Which value of M_tot does entry 4 give?
A: 0.00 μB per cell

=====

Q: Which value of uncorrected energy does entry 3 give?
A: -4.61 eV per atom